# Lu

Lu after structural relaxation (GGA-PBEsol, Alexandria).

a b c (Å): 3.3617 5.3265 5.3265
angles (deg): 120.00 90.00 90.00
Fractional positions:
Lu (0.5000, 0.3333, 0.6667)
Lu (0.5000, 0.6667, 0.3333)
Lu (0.0000, 0.0000, 0.0000)

**DFT total energy**: -14.3 eV/cell
**SG**: P6/mmm (191)


# Lu

Lu after structural relaxation (GGA-PBEsol, Alexandria).

a b c (Å): 3.3810 3.3810 3.3810
angles (deg): 60.00 60.00 60.00
Fractional positions:
Lu (0.0000, 0.0000, 0.0000)

**DFT total energy**: -4.8 eV/cell
**SG**: Fm-3m (225)


# Lu

Lu after structural relaxation (GGA-PBEsol, Alexandria).

a b c (Å): 3.4162 3.4162 8.3756
angles (deg): 78.23 78.23 60.00
Fractional positions:
Lu (0.0000, 0.0000, 0.0000)
Lu (0.2219, 0.2219, 0.3343)
Lu (0.7781, 0.7781, 0.6657)

**DFT total energy**: -14.6 eV/cell
**SG**: R-3m (166)


Offset from the most stable computed form values, unit meV per atom, following the record order: 89, 37, 8.
Energy relative to the elements values, unit eV per atom, following the record order: 0.09, 0.04, 0.01.
Total magnetization values, unit μB per formula unit, following the record order: 0.00, 0.00, 0.00.